(1)
# NiIr2Rh

A crystal of NiIr2Rh relaxed with PBEsol (meta-GGA SCAN, Alexandria).

The structure in CIF format:
```
data_NiIr2Rh
_space_group_name_H-M_alt 'P 1'
_space_group_IT_number 1
_cell_length_a 4.589
_cell_length_b 4.589
_cell_length_c 4.589
_cell_angle_alpha 131.92
_cell_angle_beta 131.92
_cell_angle_gamma 70.35
loop_
_space_group_symop_operation_xyz
'x,y,z'
loop_
_atom_site_label
_atom_site_type_symbol
_atom_site_fract_x
_atom_site_fract_y
_atom_site_fract_z
Ni1 Ni 0.000 0.000 0.000
Ir1 Ir 0.250 0.750 0.500
Ir2 Ir 0.750 0.250 0.500
Rh1 Rh 0.500 0.500 0.000
```

DFT total energy in eV/cell: -192.11
Size of the total moment in μB per formula unit: 1.34

=====

(2)
# EuIn4Cu

A crystal of EuIn4Cu relaxed with PBEsol (meta-GGA SCAN, Alexandria).

The structure in CIF format:
```
data_EuIn4Cu
_space_group_name_H-M_alt 'P 1'
_space_group_IT_number 1
_cell_length_a 8.712
_cell_length_b 8.712
_cell_length_c 7.244
_cell_angle_alpha 90.00
_cell_angle_beta 90.00
_cell_angle_gamma 150.33
loop_
_space_group_symop_operation_xyz
'x,y,z'
loop_
_atom_site_label
_atom_site_type_symbol
_atom_site_fract_x
_atom_site_fract_y
_atom_site_fract_z
Eu1 Eu 0.120 0.880 0.750
Eu2 Eu 0.880 0.120 0.250
In1 In 0.071 0.929 0.250
In2 In 0.315 0.685 0.547
In3 In 0.315 0.685 0.953
In4 In 0.500 0.500 0.000
In5 In 0.500 0.500 0.500
In6 In 0.685 0.315 0.047
In7 In 0.685 0.315 0.453
In8 In 0.929 0.071 0.750
Cu1 Cu 0.226 0.774 0.250
Cu2 Cu 0.774 0.226 0.750
```

DFT total energy in eV/cell: -409.26
Size of the total moment in μB per formula unit: 7.05

=====

Number 1: ΔE_f 8 meV per atom. Number 2: ΔE_f -362 meV per atom.